Here is a relaxed structure of ScFeGe from Alexandria. Energies are from PBE.

Unit cell a=6.4883 b=6.4883 c=3.9524 alpha=90.00 beta=90.00 gamma=120.00
Last column: nearest neighbours and their distance in Å.
Fractional positions:
1 Sc 0.5781 0.0000 0.5000  5 Ge 2.74-2.77, 2 Fe 3.01
2 Sc 0.0000 0.5781 0.5000  5 Ge 2.74-2.77, 2 Fe 3.01
3 Sc 0.4219 0.4219 0.5000  5 Ge 2.74-2.77, 2 Fe 3.01
4 Fe 0.2282 0.0000 0.0000  4 Ge 2.47-2.57, 2 Fe 2.56
5 Fe 0.0000 0.2282 0.0000  4 Ge 2.47-2.57, 2 Fe 2.56
6 Fe 0.7718 0.7718 0.0000  4 Ge 2.47-2.57, 2 Fe 2.56
7 Ge 0.3333 0.6667 0.0000  3 Fe 2.57, 6 Sc 2.77
8 Ge 0.0000 0.0000 0.5000  6 Fe 2.47, 3 Sc 2.74
9 Ge 0.6667 0.3333 0.0000  3 Fe 2.57, 6 Sc 2.77

Values from the calculation:
- Density: 6.00 g/cm³
- Total magnetization: 1.9 μB per formula unit
- D(E_F): 8.2 states/eV/cell
- Formation enthalpy at 0 K: -0.56 eV per atom

***

Here is a relaxed structure of Ho2Mg2Ni from Alexandria. Energies are from PBE.

Unit cell a=3.4007 b=3.4007 c=10.3046 alpha=99.50 beta=99.50 gamma=90.00
Last column: nearest neighbours and their distance in Å.
Fractional positions:
1 Ho 0.4200 0.4200 0.8401  4 Ni 2.89, 1 Ho 3.21
2 Ho 0.5800 0.5800 0.1599  4 Ni 2.89, 1 Ho 3.21
3 Mg 0.7992 0.7992 0.5984  8 Mg 3.11-3.40, 4 Ho 3.41
4 Mg 0.2008 0.2008 0.4016  8 Mg 3.11-3.40, 4 Ho 3.41
5 Ni 0.0000 0.0000 0.0000  8 Ho 2.89

Values from the calculation:
- Density: 6.26 g/cm³
- Total magnetization: 0.0 μB per formula unit
- D(E_F): 2.8 states/eV/cell
- Formation enthalpy at 0 K: -0.22 eV per atom

***

Here is a relaxed structure of Tb3SnH from Alexandria. Energies are from PBE.

Unit cell a=4.8191 b=4.8191 c=4.8191 alpha=90.00 beta=90.00 gamma=90.00
Last column: nearest neighbours and their distance in Å.
Fractional positions:
1 Tb 0.0000 0.0000 0.5000  2 H 2.41
2 Tb 0.5000 0.0000 0.0000  2 H 2.41
3 Tb 0.0000 0.5000 0.0000  2 H 2.41
4 Sn 0.5000 0.5000 0.5000  12 Tb 3.41
5 H 0.0000 0.0000 0.0000  6 Tb 2.41

Values from the calculation:
- E above lowest polymorph: 0.000 eV per atom
- Density: 8.85 g/cm³
- Total magnetization: 0.0 μB per formula unit
- D(E_F): 6.1 states/eV/cell

***

| no. | electronic total energy (eV/atom) |
| --- | --- |
| 1 | -7.029 |
| 2 | -3.847 |
| 3 | -4.737 |